No. 1
SrMoSe2: optimized geometry, GGA-PBE.

```
data_SrMoSe2
_cell_length_a 4.1024
_cell_length_b 4.1024
_cell_length_c 6.8040
_cell_angle_alpha 72.48
_cell_angle_beta 72.48
_cell_angle_gamma 59.98
_space_group_name_H-M_alt 'P 1'
_space_group_IT_number 1
_space_group_name_Hall 'P 1'
loop_
_atom_site_label
_atom_site_fract_x
_atom_site_fract_y
_atom_site_fract_z
Se1 0.5169 0.5169 0.4492
Se2 0.9831 0.9831 0.0508
Sr1 0.7500 0.7500 0.7500
Mo1 0.2500 0.2500 0.2500
```

Calculated values
The spin magnetization is 2.01 μB/cell. The calculation puts the relative energy among the computed polymorphs at 0 meV/atom. The value obtained for the raw formation energy is -0.784 eV per atom. As for the space-group type: R-3m, No. 166.

No. 2
Zr4ScAl: optimized geometry, GGA-PBE.

```
data_Zr4ScAl
_cell_length_a 5.7978
_cell_length_b 5.7978
_cell_length_c 5.7978
_cell_angle_alpha 60.00
_cell_angle_beta 60.00
_cell_angle_gamma 60.00
_space_group_name_H-M_alt 'P 1'
_space_group_IT_number 1
_space_group_name_Hall 'P 1'
loop_
_atom_site_label
_atom_site_fract_x
_atom_site_fract_y
_atom_site_fract_z
Zr1 0.3731 0.3731 0.3731
Zr2 0.8807 0.3731 0.3731
Zr3 0.3731 0.3731 0.8807
Zr4 0.3731 0.8807 0.3731
Sc1 0.0000 0.0000 0.0000
Al1 0.7500 0.7500 0.7500
```

Calculated values
The spin magnetization is 0.00 μB/cell. The formation energy is 211 meV/atom. The calculation puts the relative energy among the computed polymorphs at 292 meV/atom. As for the space-group type: F-43m, No. 216.

No. 3
Ca2AlSiPt6: optimized geometry, GGA-PBE.

```
data_Ca2AlSiPt6
_cell_length_a 5.6513
_cell_length_b 7.9407
_cell_length_c 5.6384
_cell_angle_alpha 69.51
_cell_angle_beta 59.84
_cell_angle_gamma 90.01
_space_group_name_H-M_alt 'P 1'
_space_group_IT_number 1
_space_group_name_Hall 'P 1'
loop_
_atom_site_label
_atom_site_fract_x
_atom_site_fract_y
_atom_site_fract_z
Al1 0.0000 0.0000 0.0000
Pt1 0.2314 0.7275 0.0177
Pt2 0.7476 0.7280 0.5031
Pt3 0.2524 0.2720 0.4969
Pt4 0.7498 0.7276 0.0180
Pt5 0.7686 0.2725 0.9823
Pt6 0.2502 0.2724 0.9820
Ca1 0.7048 0.1154 0.5913
Ca2 0.2952 0.8846 0.4087
Si1 0.5000 0.5000 0.0000
```

Calculated values
The spin magnetization is 0.00 μB/cell. The value obtained for the raw formation energy is -0.778 eV per atom. As for the space-group type: P-1, No. 2.

No. 4
Y3SnSe2: optimized geometry, GGA-PBE.

```
data_Y3SnSe2
_cell_length_a 4.2129
_cell_length_b 5.9608
_cell_length_c 7.2727
_cell_angle_alpha 114.19
_cell_angle_beta 106.82
_cell_angle_gamma 90.00
_space_group_name_H-M_alt 'P 1'
_space_group_IT_number 1
_space_group_name_Hall 'P 1'
loop_
_atom_site_label
_atom_site_fract_x
_atom_site_fract_y
_atom_site_fract_z
Y1 0.8288 0.8288 0.6577
Y2 0.1712 0.1712 0.3423
Y3 0.5000 0.5000 0.0000
Se1 0.1656 0.6655 0.3309
Se2 0.8344 0.3345 0.6691
Sn1 0.5000 0.0000 0.0000
```

Calculated values
The spin magnetization is 0.00 μB/cell. The calculation puts the relative energy among the computed polymorphs at 4 meV/atom. The value obtained for the raw formation energy is -1.459 eV per atom. As for the space-group type: Immm, No. 71.

No. 5
ZrRe2Se: optimized geometry, GGA-PBE.

```
data_ZrRe2Se
_cell_length_a 5.1349
_cell_length_b 5.1349
_cell_length_c 5.1349
_cell_angle_alpha 134.92
_cell_angle_beta 134.92
_cell_angle_gamma 65.66
_space_group_name_H-M_alt 'P 1'
_space_group_IT_number 1
_space_group_name_Hall 'P 1'
loop_
_atom_site_label
_atom_site_fract_x
_atom_site_fract_y
_atom_site_fract_z
Re1 0.2500 0.7500 0.5000
Re2 0.0000 0.0000 0.0000
Se1 0.5000 0.5000 0.0000
Zr1 0.7500 0.2500 0.5000
```

Calculated values
The spin magnetization is 0.00 μB/cell. The value obtained for the raw formation energy is 0.404 eV per atom. As for the space-group type: I-4m2, No. 119.

No. 6
Pm2DyHo12: optimized geometry, GGA-PBE.

```
data_Pm2DyHo12
_cell_length_a 6.6039
_cell_length_b 6.6039
_cell_length_c 24.8484
_cell_angle_alpha 83.42
_cell_angle_beta 96.58
_cell_angle_gamma 64.69
_space_group_name_H-M_alt 'P 1'
_space_group_IT_number 1
_space_group_name_Hall 'P 1'
loop_
_atom_site_label
_atom_site_fract_x
_atom_site_fract_y
_atom_site_fract_z
Ho1 0.6013 0.8987 0.1360
Ho2 0.3995 0.5999 0.2004
Ho3 0.9976 0.0019 0.3309
Ho4 0.6670 0.3337 0.5548
Ho5 0.5549 0.4451 0.0737
Ho6 0.3200 0.1800 0.4278
Ho7 0.8987 0.6013 0.8640
Ho8 0.1005 0.9001 0.7996
Ho9 0.9001 0.1005 0.2004
Ho10 0.3990 0.1010 0.8645
Ho11 0.1663 0.8330 0.5548
Ho12 0.1010 0.3990 0.1355
Ho13 0.8330 0.1663 0.4452
Ho14 0.4451 0.5549 0.9263
Ho15 0.0019 0.9976 0.6691
Ho16 0.4981 0.5024 0.3309
Ho17 0.1800 0.3200 0.5722
Ho18 0.9451 0.0549 0.9263
Ho19 0.3337 0.6670 0.4452
Ho20 0.5999 0.3995 0.7996
Ho21 0.5024 0.4981 0.6691
Ho22 0.6790 0.8210 0.5717
Ho23 0.8210 0.6790 0.4283
Ho24 0.0549 0.9451 0.0737
Pm1 0.4534 0.0466 0.2722
Pm2 0.9541 0.5459 0.2721
Pm3 0.5459 0.9541 0.7279
Pm4 0.0466 0.4534 0.7278
Dy1 0.9998 0.5002 0.9998
Dy2 0.5002 0.9998 0.0002
```

Calculated values
The spin magnetization is 0.00 μB/cell. The formation energy is 115 meV/atom. As for the space-group type: C2/m, No. 12.

No. 7
TaVHg2: optimized geometry, GGA-PBE.

```
data_TaVHg2
_cell_length_a 7.5122
_cell_length_b 7.5122
_cell_length_c 6.0105
_cell_angle_alpha 51.32
_cell_angle_beta 51.32
_cell_angle_gamma 90.00
_space_group_name_H-M_alt 'P 1'
_space_group_IT_number 1
_space_group_name_Hall 'P 1'
loop_
_atom_site_label
_atom_site_fract_x
_atom_site_fract_y
_atom_site_fract_z
Hg1 0.6112 0.1250 0.2500
Hg2 0.1388 0.6250 0.2500
Hg3 0.8750 0.8612 0.7500
Hg4 0.3750 0.3888 0.7500
V1 0.5000 0.5000 0.0000
V2 0.2500 0.7500 0.5000
Ta1 0.7500 0.2500 0.5000
Ta2 0.0000 0.0000 0.0000
```

Calculated values
The spin magnetization is 0.07 μB/cell. The formation energy is 845 meV/atom. The calculation puts the relative energy among the computed polymorphs at 263 meV/atom. As for the space-group type: I-42d, No. 122.

No. 8
BeNiSe: optimized geometry, GGA-PBE.

```
data_BeNiSe
_cell_length_a 4.2179
_cell_length_b 4.2179
_cell_length_c 4.2179
_cell_angle_alpha 134.25
_cell_angle_beta 134.22
_cell_angle_gamma 66.72
_space_group_name_H-M_alt 'P 1'
_space_group_IT_number 1
_space_group_name_Hall 'P 1'
loop_
_atom_site_label
_atom_site_fract_x
_atom_site_fract_y
_atom_site_fract_z
Ni1 0.6659 0.6659 0.0000
Be1 0.0009 0.0009 0.0000
Se1 0.3332 0.3332 0.0000
```

Calculated values
The spin magnetization is 0.00 μB/cell. The value obtained for the raw formation energy is 0.093 eV per atom. As for the space-group type: I4mm, No. 107.

No. 9
Dy6SbTe3S2: optimized geometry, GGA-PBE.

```
data_Dy6SbTe3S2
_cell_length_a 7.2236
_cell_length_b 7.2236
_cell_length_c 7.4403
_cell_angle_alpha 99.35
_cell_angle_beta 99.35
_cell_angle_gamma 119.92
_space_group_name_H-M_alt 'P 1'
_space_group_IT_number 1
_space_group_name_Hall 'P 1'
loop_
_atom_site_label
_atom_site_fract_x
_atom_site_fract_y
_atom_site_fract_z
Dy1 0.2863 0.2863 0.7904
Dy2 0.4275 0.0730 0.2161
Dy3 0.5725 0.9270 0.7839
Dy4 0.7137 0.7137 0.2096
Dy5 0.0730 0.4275 0.2161
Dy6 0.9270 0.5725 0.7839
S1 0.6683 0.3317 0.0000
S2 0.3317 0.6683 0.0000
Te1 0.8411 0.1589 0.5000
Te2 0.5000 0.5000 0.5000
Te3 0.1589 0.8411 0.5000
Sb1 0.0000 0.0000 0.0000
```

Calculated values
The spin magnetization is 0.00 μB/cell. The value obtained for the raw formation energy is -1.500 eV per atom. As for the space-group type: C2/m, No. 12.

No. 10
SnI2Br8: optimized geometry, GGA-PBE.

```
data_SnI2Br8
_cell_length_a 7.2139
_cell_length_b 9.6028
_cell_length_c 12.1640
_cell_angle_alpha 126.92
_cell_angle_beta 123.29
_cell_angle_gamma 43.57
_space_group_name_H-M_alt 'P 1'
_space_group_IT_number 1
_space_group_name_Hall 'P 1'
loop_
_atom_site_label
_atom_site_fract_x
_atom_site_fract_y
_atom_site_fract_z
Br1 0.1051 0.1638 0.4472
Br2 0.0036 0.7730 0.9980
Br3 0.9964 0.2270 0.0020
Br4 0.8949 0.8362 0.5528
Br5 0.4836 0.6402 0.8132
Br6 0.3719 0.0920 0.7909
Br7 0.5164 0.3598 0.1868
Br8 0.6281 0.9080 0.2091
I1 0.2154 0.6040 0.3865
I2 0.7846 0.3960 0.6135
Sn1 0.5000 0.0000 0.0000
```

Calculated values
The spin magnetization is 0.00 μB/cell. The value obtained for the raw formation energy is -0.243 eV per atom. As for the space-group type: P-1, No. 2.

No. 11
K2CdNiBr6: optimized geometry, GGA-PBE.

```
data_K2CdNiBr6
_cell_length_a 7.5147
_cell_length_b 7.5147
_cell_length_c 13.6132
_cell_angle_alpha 73.98
_cell_angle_beta 73.98
_cell_angle_gamma 60.00
_space_group_name_H-M_alt 'P 1'
_space_group_IT_number 1
_space_group_name_Hall 'P 1'
loop_
_atom_site_label
_atom_site_fract_x
_atom_site_fract_y
_atom_site_fract_z
Br1 0.8013 0.8013 0.1167
Br2 0.6231 0.1369 0.6169
Br3 0.7194 0.1987 0.8833
Br4 0.1369 0.6231 0.6169
Br5 0.1987 0.1987 0.8833
Br6 0.8013 0.2806 0.1167
Br7 0.2806 0.8013 0.1167
Br8 0.3769 0.8631 0.3831
Br9 0.1987 0.7194 0.8833
Br10 0.8631 0.3769 0.3831
Br11 0.3769 0.3769 0.3831
Br12 0.6231 0.6231 0.6169
K1 0.3015 0.3015 0.0955
K2 0.6985 0.6985 0.9045
K3 0.8797 0.8797 0.3608
K4 0.1203 0.1203 0.6392
Ni1 0.5000 0.5000 0.5000
Ni2 0.0000 0.0000 0.0000
Cd1 0.4153 0.4153 0.7540
Cd2 0.5847 0.5847 0.2460
```

Calculated values
The spin magnetization is 3.96 μB/cell. The value obtained for the raw formation energy is -0.997 eV per atom. As for the space-group type: R-3m, No. 166.